[1]
10
Lattice="3.839 0.000 0.000 0.000 3.839 0.000 0.000 0.000 18.633" Properties=species:S:1:pos:R:3 comment="LiAc4Au5 PBE-GGA optimized geometry" e_tot_ev_per_atom=-4.168 crystal_system=tetragonal dos_ef_per_ev_atom=0.59 ef_ev_per_atom=-0.695 m_tot_mub_per_fu=0.000 pbc="T T T"
Li 0.000 0.000 0.000
Ac 0.000 0.000 3.317
Ac 0.000 0.000 7.335
Ac 0.000 0.000 11.298
Ac 0.000 0.000 15.316
Au 1.919 1.919 1.414
Au 1.919 1.919 5.344
Au 1.919 1.919 9.317
Au 1.919 1.919 13.289
Au 1.919 1.919 17.219

***

[2]
4
Lattice="2.318 1.338 5.202 -2.318 1.338 5.202 0.000 -2.677 5.202" Properties=species:S:1:pos:R:3 comment="LiAcAu2 PBE-GGA optimized geometry" e_tot_ev_per_atom=-3.880 crystal_system=trigonal dos_ef_per_ev_atom=0.51 ef_ev_per_atom=-0.736 m_tot_mub_per_fu=0.000 pbc="T T T"
Li 0.000 0.000 0.000
Ac 0.000 0.000 7.803
Au 0.000 0.000 4.486
Au 0.000 0.000 11.119

***

[3]
19
Lattice="4.747 2.741 4.739 -4.747 2.741 4.739 0.000 -5.481 4.739" Properties=species:S:1:pos:R:3 comment="Li5Ac2Au12 PBE-GGA optimized geometry" e_tot_ev_per_atom=-3.562 crystal_system=trigonal dos_ef_per_ev_atom=0.25 ef_ev_per_atom=-0.556 m_tot_mub_per_fu=0.000 pbc="T T T"
Li -4.747 0.000 7.109
Li -2.373 1.370 2.370
Li 0.000 0.000 1.278
Li 2.373 1.370 2.370
Li 0.000 0.000 12.941
Ac 0.000 0.000 4.990
Ac 0.000 0.000 9.228
Au -1.423 -3.017 4.739
Au -3.324 0.276 4.739
Au -2.531 -1.461 6.930
Au 1.423 -3.017 4.739
Au -1.901 2.741 4.739
Au 0.000 -2.923 7.288
Au -2.531 1.461 7.288
Au 2.531 -1.461 6.930
Au 0.000 2.923 6.930
Au 3.324 0.276 4.739
Au 1.901 2.741 4.739
Au 2.531 1.461 7.288